This record from the Alexandria database describes an optimized crystal structure of BaV2P2O10. The functional is PBE+U.

The structure in extended XYZ format:
```
60
Lattice="5.297 0.000 0.000 0.000 9.351 0.000 -0.798 0.000 16.555" Properties=species:S:1:pos:R:3 pbc="T T T"
Ba -0.245 1.894 5.282
Ba -0.644 2.781 13.559
Ba 5.142 6.570 2.996
Ba 4.743 7.456 11.274
V 0.219 1.735 9.350
V 0.619 2.940 1.072
V 2.173 5.116 5.673
V 1.774 8.910 13.951
V 2.725 0.441 2.604
V 2.326 4.234 10.882
V 3.880 6.411 15.483
V 4.279 7.615 7.205
P 1.329 5.579 13.723
P 1.729 8.447 5.445
P 1.619 6.563 8.677
P 2.018 7.463 0.400
P 2.480 1.887 16.156
P 2.879 2.788 7.878
P 2.770 0.903 11.110
P 3.169 3.772 2.833
O 0.004 5.362 14.512
O 0.403 8.664 6.235
O 0.767 6.514 0.387
O 0.368 7.512 8.665
O 0.852 1.563 1.958
O 0.453 3.112 10.236
O 0.409 0.258 13.302
O 0.808 4.417 5.025
O 1.617 0.123 4.285
O 1.217 4.553 12.562
O 1.529 5.639 7.467
O 1.129 8.387 15.745
O 1.524 2.019 7.854
O 1.125 2.656 16.132
O 1.475 5.844 10.054
O 1.874 8.182 1.777
O 1.515 0.564 10.272
O 1.914 4.111 1.994
O 1.799 7.003 4.884
O 1.400 7.023 13.162
O 3.098 2.328 3.394
O 2.699 2.347 11.671
O 2.584 5.239 14.561
O 2.983 8.786 6.283
O 2.624 1.168 14.779
O 3.023 3.507 6.501
O 3.374 6.694 0.423
O 2.975 7.332 8.701
O 3.369 0.964 0.811
O 2.970 3.711 9.088
O 3.281 4.798 3.993
O 2.882 9.228 12.271
O 3.691 4.933 11.531
O 4.090 9.092 3.253
O 4.046 6.238 6.319
O 3.647 7.787 14.597
O 4.130 1.838 7.891
O 3.731 2.837 16.168
O 4.095 0.687 10.321
O 4.494 3.988 2.043
```

Properties
- Crystal system: monoclinic
- Volume: 819.9 Å³ per cell
- Spin magnetization: 8.00 Bohr magnetons per cell
- Final energy: -7.49 eV per atom